# 1
SrTl2Pb | PBE | optimized geometry

Cell: 5.022 5.022 10.111 Å, 90.00 90.00 90.00°
Space group I-4m2 (No. 119)
Asymmetric unit:
Sr1 0.000 0.000 0.000
Tl1 0.000 0.000 0.500
Tl2 0.000 0.500 0.250
Pb1 0.000 0.500 0.750

Summary:
energy of formation from the pure elements: -0.264 eV per atom

# 2
BaZr2Pt | PBE | optimized geometry

Cell: 4.424 4.424 9.768 Å, 90.00 90.00 90.00°
Space group I-4m2 (No. 119)
Asymmetric unit:
Ba1 0.000 0.000 0.000
Zr1 0.000 0.000 0.500
Zr2 0.000 0.500 0.250
Pt1 0.000 0.500 0.750

Summary:
energy above the lowest structure with this stoichiometry: 594 meV per atom
energy of formation from the pure elements: 0.307 eV per atom

# 3
Pm2H2PtO6 | PBE | optimized geometry

Cell: 5.0687 5.0687 15.4879 Å, 90.00 90.00 120.00°
Space group R-3m (No. 166, hexagonal axes)
Asymmetric unit:
Pm1 0.0000 0.0000 0.2218
H1 0.0000 0.0000 0.4174
Pt1 0.0000 0.0000 0.0000
O1 0.0044 0.5022 0.2432

# 4
ScCuPb2 | PBE | optimized geometry

Cell: 3.3831 3.3831 28.8488 Å, 90.00 90.00 120.00°
Space group R-3m (No. 166, hexagonal axes)
Asymmetric unit:
Sc1 0.0000 0.0000 0.0000
Cu1 0.0000 0.0000 0.5000
Pb1 0.0000 0.0000 0.2417

Summary:
energy above the lowest structure with this stoichiometry: 192 meV per atom
energy of formation from the pure elements: 0.120 eV per atom

Total DFT energy (no corrections) for the records above, in order: -2.79; -5.96; -6.42; -4.34 eV/atom